BeAgP2 (PBEsol, optimized geometry); theoretical density = 5.105 Mg/m³; calculated formation energy = 0.375 eV per atom; density of states at the Fermi level = 1.44 states/eV/cell; total magnetic moment = 0.0 μB per cell
1.0
2.589 0.000 0.000
0.000 3.360 0.000
0.000 0.000 6.689
P Ag Be
2 1 1
Direct
0.500 0.500 0.279 P
0.000 0.000 0.917 P
0.000 0.000 0.525 Ag
0.500 0.500 0.779 Be

---

BeAgP2 (PBEsol, optimized geometry); theoretical density = 5.214 Mg/m³; calculated formation energy = 0.563 eV per atom; density of states at the Fermi level = 1.66 states/eV/cell; total magnetic moment = 0.0 μB per cell
1.0
3.749 0.000 0.000
0.000 3.749 0.000
-1.874 -1.874 4.053
Be P Ag
1 2 1
Direct
0.250 0.750 0.500 Be
0.750 0.250 0.500 P
0.000 0.000 0.000 P
0.500 0.500 0.000 Ag

---

BeAgP (PBEsol, optimized geometry); theoretical density = 5.607 Mg/m³; calculated formation energy = 0.051 eV per atom; density of states at the Fermi level = 0.54 states/eV/cell; total magnetic moment = 0.0 μB per cell
1.0
3.621 0.000 0.000
-1.810 3.136 0.000
0.000 0.000 3.857
P Be Ag
1 1 1
Direct
0.667 0.333 0.000 P
0.333 0.667 0.000 Be
0.000 0.000 0.500 Ag

---

BeAg2P (PBEsol, optimized geometry); theoretical density = 7.128 Mg/m³; calculated formation energy = 0.166 eV per atom; density of states at the Fermi level = 1.31 states/eV/cell; total magnetic moment = 0.0 μB per cell
1.0
-2.303 -2.677 0.385
2.458 -2.300 -1.289
0.423 0.345 4.920
Ag P Be
2 1 1
Direct
0.000 0.055 0.980 Ag
0.500 0.707 0.289 Ag
0.500 0.432 0.731 P
0.000 0.306 0.499 Be

---

SrBe2AgP (PBEsol, optimized geometry); theoretical density = 3.713 Mg/m³; calculated formation energy = 0.591 eV per atom; density of states at the Fermi level = 2.54 states/eV/cell; total magnetic moment = 0.0 μB per cell
1.0
4.390 0.000 0.000
0.000 4.390 0.000
0.000 0.000 5.674
Be Sr P Ag
2 1 1 1
Direct
0.000 0.500 0.000 Be
0.500 0.000 0.000 Be
0.000 0.000 0.500 Sr
0.500 0.500 0.500 P
0.000 0.000 0.000 Ag

---

Be2AgPb (PBEsol, optimized geometry); theoretical density = 8.488 Mg/m³; calculated formation energy = 0.467 eV per atom; density of states at the Fermi level = 1.22 states/eV/cell; total magnetic moment = 0.0 μB per cell
1.0
2.995 0.000 0.000
0.000 3.258 0.000
0.000 0.000 6.678
Ag Pb Be
1 1 2
Direct
0.500 0.500 0.000 Ag
0.500 0.500 0.500 Pb
0.000 0.000 0.828 Be
0.000 0.000 0.172 Be

---

BeAgPb4 (PBEsol, optimized geometry); theoretical density = 9.102 Mg/m³; calculated formation energy = 0.786 eV per atom; density of states at the Fermi level = 2.50 states/eV/cell; total magnetic moment = 0.0 μB per cell
1.0
-3.000 -2.518 4.869
3.189 -1.692 5.100
-0.631 3.248 5.300
Pb Ag Be
4 1 1
Direct
0.375 0.875 0.375 Pb
0.875 0.375 0.375 Pb
0.375 0.375 0.375 Pb
0.375 0.375 0.875 Pb
0.750 0.750 0.750 Ag
0.000 0.000 0.000 Be

---

Be2AgPb (PBEsol, optimized geometry); theoretical density = 8.839 Mg/m³; calculated formation energy = 0.604 eV per atom; density of states at the Fermi level = 1.09 states/eV/cell; total magnetic moment = 0.0 μB per cell
1.0
4.082 0.000 0.000
0.000 3.752 0.000
0.000 0.000 4.086
Be Ag Pb
2 1 1
Direct
0.500 0.000 0.500 Be
0.000 0.000 0.000 Be
0.000 0.500 0.500 Ag
0.500 0.500 0.000 Pb

---

Be2AgPb (PBEsol, optimized geometry); theoretical density = 8.487 Mg/m³; calculated formation energy = 0.438 eV per atom; density of states at the Fermi level = 1.10 states/eV/cell; total magnetic moment = 0.0 μB per cell
1.0
3.173 0.000 -0.023
0.000 3.789 0.000
-1.512 0.000 5.432
Be Pb Ag
2 1 1
Direct
0.175 0.000 0.970 Be
0.291 0.500 0.207 Be
0.905 0.000 0.446 Pb
0.629 0.500 0.877 Ag

---

BeAgPb2 (PBEsol, optimized geometry); theoretical density = 10.253 Mg/m³; calculated formation energy = 0.469 eV per atom; density of states at the Fermi level = 1.59 states/eV/cell; total magnetic moment = 0.0 μB per cell
1.0
4.724 0.000 0.000
-2.362 4.522 0.014
0.000 2.454 4.036
Ag Pb Be
1 2 1
Direct
0.500 0.000 0.500 Ag
0.250 0.500 0.250 Pb
0.750 0.500 0.750 Pb
0.000 0.000 0.000 Be